Entry from Alexandria via LeMat-Bulk: a geometry-optimized Dy2MnFe structure (GGA-PBE).

Lattice parameters (Å, degrees): 3.3052 3.3052 9.8996 80.39 80.39 60.00
Closest atoms and distances in Å follow each position.
Fractional positions:
Dy 0.8998 0.8998 0.3005  3 Fe 2.72, 1 Mn 2.92
Mn 0.0000 0.0000 0.0000  2 Dy 2.92
Dy 0.1002 0.1002 0.6995  3 Fe 2.72, 1 Mn 2.92
Fe 0.5000 0.5000 0.5000  6 Dy 2.72

Its density of states at the Fermi level is 3.55 states/eV/cell. The symmetry is No. 166. The total DFT energy (no corrections) is -6.0524 eV per atom. The magnetic moment is 4.5 Bohr magnetons per cell. As for the formation energy: 2.63 eV/f.u.